TmNbRe4: relaxed, PBE-GGA.

Fermi-level density of states in states/eV/atom: 1.286
Raw total energy in eV for the cell shown: -65.1
Symmetry: F-43m
DFT formation energy in kJ per mole of atoms: -12

```
6
Lattice="-4.0511 0.5413 3.3639 -4.8640 -1.5021 -1.4511 -2.2116 -4.2815 2.1903" Properties=species:S:1:pos:R:3 pbc="T T T"
Re -6.9556 -3.2771 2.5650
Re -4.5212 -2.5253 3.2913
Re -5.8487 -1.1342 1.4687
Re -4.9280 -3.5480 0.8813
Nb 0.0000 0.0000 0.0000
Tm -2.7817 -1.3106 1.0258
```